Crystalline NaFeO2 at its relaxed geometry. Source: Alexandria via LeMat-Bulk, functional GGA+U.

It has space group I-42d (No. 122), with a = 5.188 Å, b = 5.188 Å, c = 8.430 Å, α = 90.00°, β = 90.00° and γ = 90.00°. The distinct sites, in fractional coordinates, are Na at (0.000, 0.000, 0.000), Fe at (0.000, 0.000, 0.500) and O at (0.180, 0.250, 0.625).

The calculated density comes out at 3.2 g/cm³. The calculation puts the total energy at -5.751 eV/atom.